Record 1
! TlZnAsO4, optimized geometry, DFT PBE; values from VASP
&SYSTEM
  ibrav = 0, nat = 14, ntyp = 4
/
ATOMIC_SPECIES
O 16.00 O.upf
Tl 204.38 Tl.upf
Zn 65.41 Zn.upf
As 74.92 As.upf
CELL_PARAMETERS angstrom
-5.5157 3.7814 2.6815
-3.7157 -2.1616 5.0851
0.5474 3.8095 5.4337
ATOMIC_POSITIONS angstrom
O -2.2148 3.4982 5.8560
O -2.5468 1.1492 2.8206
O -6.1371 4.2801 10.3797
O -3.6549 2.6399 8.1189
O -4.5024 5.0665 6.9681
O -5.0291 2.7894 5.0814
O -6.4691 1.9311 7.3442
O -4.1816 0.3628 6.2321
Tl -1.5841 0.8239 5.2594
Tl 0.0000 0.0000 0.0000
Zn -2.4841 3.7955 4.0576
Zn 0.2737 1.9047 2.7168
As -3.0837 4.0325 7.3300
As -5.6002 1.3969 5.8703
! DOS(E_F) = 0.01 states/eV per atom
! E_tot = -70.1 eV/cell
! E_form (uncorrected) = -95.45 kJ/mol of atoms
! SG = No. 74

Record 2
! TcIr3Ru, optimized geometry, DFT PBE; values from VASP
&SYSTEM
  ibrav = 0, nat = 10, ntyp = 3
/
ATOMIC_SPECIES
Tc 98.00 Tc.upf
Ir 192.22 Ir.upf
Ru 101.07 Ru.upf
CELL_PARAMETERS angstrom
-3.1534 -3.5270 -0.0935
2.5462 -4.3498 -2.0866
3.1281 2.3556 6.0798
ATOMIC_POSITIONS angstrom
Tc 3.5567 -3.0667 3.5308
Tc 0.7803 -4.7626 0.0946
Ir 1.5738 -2.2428 -0.6401
Ir -0.4852 -2.5824 1.1464
Ir 1.1492 -4.1001 2.6961
Ir 0.2424 -0.0654 0.3658
Ir 3.1879 -3.7292 0.9293
Ir 2.2760 -0.8972 4.5656
Ru 1.9279 -1.5683 1.9521
Ru -0.1370 -1.9113 3.7599
! DOS(E_F) = 0.90 states/eV per atom
! E_tot = -93.4 eV/cell
! SG = No. 2
! E_form = -9 kJ/mol of atoms
! polymorph energy (0 for the lowest one) = 0 meV/atom

Record 3
! YMn2Os, optimized geometry, DFT PBE; values from VASP
&SYSTEM
  ibrav = 0, nat = 4, ntyp = 3
/
ATOMIC_SPECIES
Mn 54.94 Mn.upf
Os 190.23 Os.upf
Y 88.91 Y.upf
CELL_PARAMETERS angstrom
-0.8386 1.2703 -2.5707
-2.8615 -0.1984 0.8355
0.4578 6.6896 3.1563
ATOMIC_POSITIONS angstrom
Mn 0.0264 0.3863 0.1823
Mn -1.7316 2.2677 -0.0505
Os 0.2025 2.9583 1.3958
Y -1.5107 5.4940 1.4717
! DOS(E_F) = 1.10 states/eV per atom
! E_tot = -35.1 eV/cell
! SG = No. 99
! E_form = 22 kJ/mol of atoms
! polymorph energy (0 for the lowest one) = 77 meV/atom

Record 4
! BeAlHg2, optimized geometry, DFT PBE; values from VASP
&SYSTEM
  ibrav = 0, nat = 4, ntyp = 3
/
ATOMIC_SPECIES
Al 26.98 Al.upf
Be 9.01 Be.upf
Hg 200.59 Hg.upf
CELL_PARAMETERS angstrom
-0.6739 1.0464 -4.0818
1.3910 -3.8467 -1.2158
-3.7581 -1.4385 0.2517
ATOMIC_POSITIONS angstrom
Al -2.2160 -0.1961 -1.9150
Be -1.1835 -2.6426 -0.4820
Hg 0.3585 -1.4001 -2.6488
Hg 0.0000 0.0000 0.0000
! DOS(E_F) = 0.27 states/eV per atom
! E_tot = -6.2 eV/cell
! SG = No. 123
! E_form = 45 kJ/mol of atoms
! polymorph energy (0 for the lowest one) = 240 meV/atom

Record 5
! K3Tl5Br12, optimized geometry, DFT PBE; values from VASP
&SYSTEM
  ibrav = 0, nat = 80, ntyp = 3
/
ATOMIC_SPECIES
Br 79.90 Br.upf
K 39.10 K.upf
Tl 204.38 Tl.upf
CELL_PARAMETERS angstrom
16.3238 0.0000 0.0000
-5.4413 15.3902 0.0000
-5.4413 -7.6951 13.3283
ATOMIC_POSITIONS angstrom
Br 5.4161 2.5825 7.9300
Br 6.8262 2.3868 1.7285
Br 6.0707 2.1196 12.0625
Br -3.4520 8.8532 10.3971
Br 10.9077 -3.3838 8.3926
Br -1.3849 -4.1511 9.5954
Br 4.0563 6.5378 5.4614
Br 4.7099 -1.8881 4.1956
Br 10.1511 0.7300 6.2015
Br -1.3357 8.8524 5.4614
Br 3.3501 9.8147 1.2658
Br 0.7314 9.5832 9.1327
Br 10.8574 1.7287 0.4626
Br -1.3849 5.3083 11.5998
Br -2.7458 -5.9664 12.8657
Br 2.0912 2.1561 12.1255
Br 6.1726 6.5370 10.3971
Br 9.5468 -5.3083 11.5998
Br 3.4520 1.8881 4.1956
Br -4.1056 13.0034 1.7285
Br 6.0707 -2.1561 12.1255
Br 1.9892 5.8070 9.1327
Br 6.7769 -1.1573 7.8669
Br -2.0912 0.0364 10.8597
Br 8.8933 -1.1581 2.9312
Br 8.1870 13.6615 0.4626
Br -5.4664 11.0789 4.9357
Br 11.5120 7.7315 2.4686
Br -2.7458 3.3838 8.3926
Br 7.5324 7.6587 2.4686
Br -0.6295 9.8512 1.2028
Br -1.9892 -0.7300 6.2015
Br -0.6295 5.5755 1.2658
Br 8.1870 4.3113 4.9357
Br -6.0707 -0.0364 10.8597
Br 12.2182 3.5440 3.7329
Br 7.4305 8.4251 7.1268
Br 2.7458 -2.5825 7.9300
Br -6.7769 4.1511 9.5954
Br 3.3501 5.5390 1.2028
Br 2.0912 -2.1196 12.0625
Br 6.8262 11.8462 3.7329
Br -4.7099 6.9651 7.1268
Br 2.6955 10.2776 5.3983
Br 1.3849 1.1573 7.8669
Br 0.0251 5.1126 5.3983
Br -5.4161 5.9664 12.8657
Br -0.7314 1.1581 2.9312
K 9.5222 10.5808 1.6660
K 4.0809 8.6570 8.3302
K -4.0809 2.8857 11.6623
K -1.3603 6.7332 8.3302
K 9.5222 4.8094 1.6660
K 1.3603 -0.9619 4.9981
K -4.0809 -2.8857 11.6623
K 1.3603 7.6951 3.3321
K 12.2428 0.0000 3.3321
K 6.8016 0.9619 4.9981
K 4.0809 0.0000 9.9962
K -6.8016 7.6951 9.9962
Tl 0.0000 0.0000 0.0000
Tl 5.4413 7.6951 0.0000
Tl 6.8016 3.8475 9.9962
Tl -1.3603 0.9619 8.3302
Tl -4.0809 8.6570 4.9981
Tl 1.3603 4.8094 11.6623
Tl 6.8016 6.7332 4.9981
Tl 4.0809 2.8857 1.6660
Tl -5.4413 3.8475 6.6642
Tl -2.7206 -3.8475 6.6642
Tl 2.7206 3.8475 6.6642
Tl -1.3603 12.5045 1.6660
Tl 5.4413 -3.8475 6.6642
Tl 4.0809 11.5426 3.3321
Tl 8.1619 0.0000 0.0000
Tl 1.3603 -3.8475 9.9962
Tl -2.7206 7.6951 0.0000
Tl 6.8016 -4.8094 11.6623
Tl 9.5222 -0.9619 8.3302
Tl -1.3603 3.8475 3.3321
! DOS(E_F) = 0.61 states/eV per atom
! E_tot = -215.2 eV/cell
! E_form (uncorrected) = -89.73 kJ/mol of atoms
! SG = No. 230

Record 6
! KNa2Si2, optimized geometry, DFT PBE; values from VASP
&SYSTEM
  ibrav = 0, nat = 5, ntyp = 3
/
ATOMIC_SPECIES
Na 22.99 Na.upf
K 39.10 K.upf
Si 28.09 Si.upf
CELL_PARAMETERS angstrom
-0.6491 3.0998 4.0507
-2.4160 -3.7831 2.5079
3.3357 -2.0612 5.3753
ATOMIC_POSITIONS angstrom
Na 0.5770 0.3485 6.3527
Na -0.3064 -3.0930 5.5812
K 0.0000 0.0000 0.0000
Si -0.5716 -0.6811 3.6930
Si 0.8422 -2.0635 8.2409
! DOS(E_F) = 0.40 states/eV per atom
! E_tot = -14.1 eV/cell
! E_form (uncorrected) = 10.18 kJ/mol of atoms
! SG = No. 139
! polymorph energy (0 for the lowest one) = 67 meV/atom

Record 7
! Ce3NdSm4Se8, optimized geometry, DFT PBE; values from VASP
&SYSTEM
  ibrav = 0, nat = 16, ntyp = 4
/
ATOMIC_SPECIES
Se 78.96 Se.upf
Ce 140.12 Ce.upf
Sm 150.36 Sm.upf
Nd 144.24 Nd.upf
CELL_PARAMETERS angstrom
-8.3706 0.1135 0.2562
-0.2807 -3.6097 -7.5699
4.3306 -3.6095 6.1936
ATOMIC_POSITIONS angstrom
Se -4.3237 -4.4446 -2.3985
Se -6.4817 -2.6399 -5.5003
Se 2.1611 -4.4658 4.3802
Se 0.0030 -2.6611 1.2783
Se -2.3113 -2.6965 -5.6280
Se -4.1824 -2.5981 1.4001
Se -0.1383 -4.5076 -2.5203
Se -2.0094 -4.4092 4.5079
Ce -4.3256 -1.7481 -3.6568
Ce 2.0250 -3.6096 -0.6882
Ce -2.1603 -3.5528 -0.5601
Sm 0.0000 0.0000 0.0000
Sm -2.0200 -1.7480 3.2249
Sm -4.1853 0.0567 0.1281
Sm 2.1653 -1.8048 3.0968
Nd -0.1403 -1.8048 -3.7850
! DOS(E_F) = 1.37 states/eV per atom
! E_tot = -98.6 eV/cell
! E_form (uncorrected) = -176.39 kJ/mol of atoms
! SG = No. 166

Record 8
! Pm3MnSe6, optimized geometry, DFT PBE; values from VASP
&SYSTEM
  ibrav = 0, nat = 20, ntyp = 3
/
ATOMIC_SPECIES
Pm 145.00 Pm.upf
Se 78.96 Se.upf
Mn 54.94 Mn.upf
CELL_PARAMETERS angstrom
-2.5408 2.4596 6.0106
7.5000 -2.6602 4.2589
2.2064 8.3874 -2.4995
ATOMIC_POSITIONS angstrom
Pm 3.3335 4.9323 2.5298
Pm 4.9249 8.1952 6.6845
Pm -1.2587 4.5466 5.5637
Pm 1.0551 1.1394 3.8904
Pm 7.2386 4.7880 5.0113
Pm 3.1311 3.9332 6.8987
Se 4.5183 5.8224 5.0767
Se 1.4738 5.0018 0.1466
Se 5.9760 2.9100 6.9513
Se 5.8865 0.2150 3.8009
Se 5.5777 -0.5666 8.0490
Se 1.9704 8.3832 -1.1838
Se 4.7332 6.9250 0.7374
Se 1.3732 3.9666 4.5066
Se 6.1184 3.9047 2.4923
Se 2.9732 2.0489 1.9222
Se 2.7165 0.9867 6.3604
Se 1.6699 7.5936 3.0447
Mn 5.1135 0.8333 6.0525
Mn 3.2054 6.2371 -1.0108
! DOS(E_F) = 0.49 states/eV per atom
! E_tot = -118.1 eV/cell
! E_form (uncorrected) = -142.15 kJ/mol of atoms
! SG = No. 36

Record 9
! SrCaAcPb, optimized geometry, DFT PBE; values from VASP
&SYSTEM
  ibrav = 0, nat = 4, ntyp = 4
/
ATOMIC_SPECIES
Sr 87.62 Sr.upf
Pb 207.20 Pb.upf
Ca 40.08 Ca.upf
Ac 227.00 Ac.upf
CELL_PARAMETERS angstrom
-4.0541 -1.1343 -4.2793
-0.1313 -5.3797 -2.6600
-4.5370 -3.7769 1.0890
ATOMIC_POSITIONS angstrom
Sr -2.1806 -2.5727 -1.4626
Pb -4.3612 -5.1454 -2.9251
Ca 0.0000 0.0000 0.0000
Ac -6.5418 -7.7181 -4.3877
! DOS(E_F) = 0.92 states/eV per atom
! E_tot = -12.2 eV/cell
! SG = No. 216
! E_form = -17 kJ/mol of atoms

Record 10
! MnIrC2, optimized geometry, DFT PBE; values from VASP
&SYSTEM
  ibrav = 0, nat = 8, ntyp = 3
/
ATOMIC_SPECIES
C 12.01 C.upf
Mn 54.94 Mn.upf
Ir 192.22 Ir.upf
CELL_PARAMETERS angstrom
4.4718 0.0000 0.0000
0.0000 4.4718 0.0000
2.2359 2.2359 4.4631
ATOMIC_POSITIONS angstrom
C 3.3539 3.4598 3.3474
C 1.2239 3.3539 1.1158
C 5.5898 5.4838 3.3474
C 3.2479 1.1180 1.1158
Mn 2.2359 4.4718 2.2316
Mn 2.2359 2.2359 0.0000
Ir 0.0000 0.0000 0.0000
Ir 4.4718 2.2359 2.2316
! DOS(E_F) = 0.06 states/eV per atom
! E_tot = -68.8 eV/cell
! SG = No. 122
! E_form = 50 kJ/mol of atoms
! polymorph energy (0 for the lowest one) = 0 meV/atom

Record 11
! TcMo2Ru, optimized geometry, DFT PBE; values from VASP
&SYSTEM
  ibrav = 0, nat = 8, ntyp = 3
/
ATOMIC_SPECIES
Ru 101.07 Ru.upf
Tc 98.00 Tc.upf
Mo 95.94 Mo.upf
CELL_PARAMETERS angstrom
3.8137 0.0000 0.0000
0.0000 3.8137 0.0000
1.9069 1.9069 8.9993
ATOMIC_POSITIONS angstrom
Ru 0.0000 0.0000 0.0000
Ru 3.8137 1.9069 4.4996
Tc 1.9069 3.8137 4.4996
Tc 1.9069 1.9069 0.0000
Mo 2.8603 2.8710 6.7495
Mo 0.9642 2.8603 2.2498
Mo 2.8496 0.9534 2.2498
Mo 4.7672 4.7564 6.7495
! DOS(E_F) = 1.15 states/eV per atom
! E_tot = -76.2 eV/cell
! SG = No. 122
! E_form = 77 kJ/mol of atoms
! polymorph energy (0 for the lowest one) = 697 meV/atom

Record 12
! KZnRh, optimized geometry, DFT PBE; values from VASP
&SYSTEM
  ibrav = 0, nat = 3, ntyp = 3
/
ATOMIC_SPECIES
Rh 102.91 Rh.upf
Zn 65.41 Zn.upf
K 39.10 K.upf
CELL_PARAMETERS angstrom
-0.8328 0.6840 -2.8330
0.1164 -2.8957 0.8881
-7.2466 0.3910 2.2245
ATOMIC_POSITIONS angstrom
Rh -2.8509 -1.5594 0.4615
Zn -4.9722 -0.2688 -0.2248
K -0.1399 0.0075 0.0429
! DOS(E_F) = 0.50 states/eV per atom
! E_tot = -8.5 eV/cell
! SG = No. 156
! E_form = 40 kJ/mol of atoms
! polymorph energy (0 for the lowest one) = 365 meV/atom

Record 13
! LiTl4Se, optimized geometry, DFT PBE; values from VASP
&SYSTEM
  ibrav = 0, nat = 6, ntyp = 3
/
ATOMIC_SPECIES
Tl 204.38 Tl.upf
Li 6.94 Li.upf
Se 78.96 Se.upf
CELL_PARAMETERS angstrom
-4.8717 -4.1325 0.1159
-3.4783 -0.6899 5.3151
-6.0126 2.1539 0.1853
ATOMIC_POSITIONS angstrom
Tl -5.3838 -1.0003 2.1052
Tl -8.3938 0.0780 2.1980
Tl -7.8226 -3.0691 2.1633
Tl -7.1251 -1.3457 4.7661
Li -10.7720 -2.0014 4.2122
Se 0.0000 0.0000 0.0000
! DOS(E_F) = 0.35 states/eV per atom
! E_tot = -14.5 eV/cell
! E_form (uncorrected) = 5.52 kJ/mol of atoms
! SG = No. 216

Record 14
! AlH2Br, optimized geometry, DFT PBE; values from VASP
&SYSTEM
  ibrav = 0, nat = 16, ntyp = 3
/
ATOMIC_SPECIES
Al 26.98 Al.upf
H 1.01 H.upf
Br 79.90 Br.upf
CELL_PARAMETERS angstrom
5.9675 0.0000 0.0000
0.0000 4.4887 0.0075
0.0000 0.0211 9.1007
ATOMIC_POSITIONS angstrom
Al 2.7971 3.3668 0.6737
Al 5.7809 3.3768 3.8879
Al 3.1704 1.1430 8.4345
Al 0.1867 1.1330 5.2203
H 4.0529 4.1947 8.8448
H 5.2529 4.1670 5.3885
H 3.6984 1.9121 0.8344
H 2.2691 2.5977 8.2738
H 0.7147 0.3428 3.7197
H 4.8984 1.9398 4.2907
H 1.0691 2.5700 4.8175
H 1.9146 0.3151 0.2634
Br 2.3380 0.2657 6.2576
Br 0.6456 2.4995 1.7108
Br 5.3219 2.0103 7.3975
Br 3.6295 4.2441 2.8507
! DOS(E_F) = 0.00 states/eV per atom
! E_tot = -54.0 eV/cell
! SG = No. 14
! polymorph energy (0 for the lowest one) = 0 meV/atom

Record 15
! Li4U3GeN8, optimized geometry, DFT PBE; values from VASP
&SYSTEM
  ibrav = 0, nat = 16, ntyp = 4
/
ATOMIC_SPECIES
Ge 72.64 Ge.upf
N 14.01 N.upf
Li 6.94 Li.upf
U 238.03 U.upf
CELL_PARAMETERS angstrom
-6.8835 0.4422 -0.2123
-0.3884 -6.3490 -0.6322
3.4953 3.0230 5.1271
ATOMIC_POSITIONS angstrom
Ge -0.1942 -3.1745 -0.3161
N -3.5292 -0.0304 2.2061
N -5.1098 -1.3978 -0.1117
N 1.3332 -1.4859 4.3943
N -0.0819 -0.1022 2.4428
N -1.9971 -1.5978 -0.0157
N -3.6947 -2.7815 1.8397
N -0.2474 -2.8534 2.0764
N -1.7795 -1.2859 4.2982
Li -1.6941 1.7326 2.4574
Li -3.4417 0.2211 -0.1062
Li 1.7476 1.5115 2.5636
Li 0.0000 0.0000 0.0000
U -3.6359 -2.9534 -0.4223
U 1.5534 -1.6630 2.2474
U -1.8883 -1.4419 2.1413
! E_tot = -126.2 eV/cell
! E_form (uncorrected) = -81.12 kJ/mol of atoms
! SG = No. 166

Record 16
! MgTaTiO6, optimized geometry, DFT PBE; values from VASP
&SYSTEM
  ibrav = 0, nat = 18, ntyp = 4
/
ATOMIC_SPECIES
O 16.00 O.upf
Mg 24.30 Mg.upf
Ti 47.87 Ti.upf
Ta 180.95 Ta.upf
CELL_PARAMETERS angstrom
4.7396 0.0000 0.0000
0.0000 4.7396 0.0000
0.0000 0.0000 9.1979
ATOMIC_POSITIONS angstrom
O 3.2709 3.2709 9.1819
O 1.4102 1.4102 6.2431
O 0.9011 3.8385 4.5830
O 1.4687 1.4687 9.1819
O 1.3922 1.3922 2.9612
O 0.9596 3.7800 1.6441
O 3.3474 3.3474 2.9612
O 3.7619 0.9776 7.5602
O 3.3294 3.3294 6.2431
O 0.9776 3.7619 7.5602
O 3.8385 0.9011 4.5830
O 3.7800 0.9596 1.6441
Mg 2.3698 2.3698 4.6141
Mg 0.0000 0.0000 0.0152
Ti 2.3698 2.3698 7.6899
Ti 0.0000 0.0000 3.0909
Ta 2.3698 2.3698 1.5121
Ta 0.0000 0.0000 6.1111
! DOS(E_F) = 0.52 states/eV per atom
! E_tot = -149.6 eV/cell
! E_form (uncorrected) = -254.14 kJ/mol of atoms
! SG = No. 102

Record 17
! Be4V2Sn, optimized geometry, DFT PBE; values from VASP
&SYSTEM
  ibrav = 0, nat = 7, ntyp = 3
/
ATOMIC_SPECIES
V 50.94 V.upf
Be 9.01 Be.upf
Sn 118.71 Sn.upf
CELL_PARAMETERS angstrom
4.4465 0.0000 0.0000
0.0000 4.4465 0.0000
2.2233 2.2233 5.9365
ATOMIC_POSITIONS angstrom
V 2.2233 2.2233 1.0491
V 4.4465 4.4465 4.8874
Be 0.0000 2.2233 0.0000
Be 4.4465 4.4465 2.4583
Be 2.2233 2.2233 3.4782
Be 2.2233 0.0000 0.0000
Sn 0.0000 0.0000 0.0000
! DOS(E_F) = 0.62 states/eV per atom
! E_tot = -28.7 eV/cell
! SG = No. 139
! E_form = 117 kJ/mol of atoms

Record 18
! TlSn6Te8, optimized geometry, DFT PBE; values from VASP
&SYSTEM
  ibrav = 0, nat = 15, ntyp = 3
/
ATOMIC_SPECIES
Te 127.60 Te.upf
Tl 204.38 Tl.upf
Sn 118.71 Sn.upf
CELL_PARAMETERS angstrom
4.5796 0.0000 0.0000
0.0000 11.4508 0.0000
0.0000 -5.7254 9.9167
ATOMIC_POSITIONS angstrom
Te 3.4248 -3.6433 6.9626
Te 3.4248 2.1261 9.5906
Te 1.1548 4.2081 6.6365
Te 3.4248 1.5173 3.2802
Te 1.1518 0.0000 6.6111
Te 1.1548 3.5993 0.3261
Te 1.1548 9.3687 2.9541
Te 3.4278 5.7254 3.3056
Tl 2.2898 0.0000 0.0000
Sn 3.4357 -1.0137 8.5826
Sn 3.4357 -1.2005 4.7475
Sn 3.4357 2.2142 6.5033
Sn 1.1439 6.7391 1.3341
Sn 1.1439 3.5112 3.4134
Sn 1.1439 6.9259 5.1692
! DOS(E_F) = 0.37 states/eV per atom
! E_tot = -54.7 eV/cell
! E_form (uncorrected) = -20.50 kJ/mol of atoms
! SG = No. 147

Record 19
! Na3PrNd2Se6, optimized geometry, DFT PBE; values from VASP
&SYSTEM
  ibrav = 0, nat = 12, ntyp = 4
/
ATOMIC_SPECIES
Se 78.96 Se.upf
Na 22.99 Na.upf
Nd 144.24 Nd.upf
Pr 140.91 Pr.upf
CELL_PARAMETERS angstrom
-6.8079 -2.9682 -0.4721
3.6916 -0.1666 6.4595
-1.7762 7.2196 -0.2274
ATOMIC_POSITIONS angstrom
Se -5.4630 2.6790 3.1769
Se -2.7393 -0.6212 4.4003
Se 0.5704 1.4058 2.5831
Se -1.9451 3.6176 5.4994
Se -2.9475 0.4672 0.2606
Se -2.1533 4.7059 1.3597
Na 1.0541 2.9764 5.1909
Na -2.4463 2.0424 2.8800
Na -5.9467 1.1084 0.5691
Nd 0.1919 -1.1004 4.1491
Nd -3.3083 -2.0344 1.8383
Pr 0.0000 0.0000 0.0000
! DOS(E_F) = 0.00 states/eV per atom
! E_tot = -59.4 eV/cell
! E_form (uncorrected) = -162.27 kJ/mol of atoms
! SG = No. 12